La3MoO | PBE+U | relaxed

Values from the calculation:
Magnetic moment: 2.730 μB per formula unit
Excess energy over the best structure of this formula in the dataset: 0.0000 eV/atom
Calculated density: 6.64 g cm⁻³
Final energy: -6.1863 eV/atom

```
data_La3MoO
_cell_length_a 5.096
_cell_length_b 5.096
_cell_length_c 5.096
_cell_angle_alpha 90.00
_cell_angle_beta 90.00
_cell_angle_gamma 90.00
_space_group_name_H-M_alt 'P m -3 m'
_space_group_IT_number 221
_space_group_name_Hall '-P 4 2 3'
loop_
_atom_site_label
_atom_site_fract_x
_atom_site_fract_y
_atom_site_fract_z
_atom_site_occupancy
La1 0.000 0.000 0.500 1
Mo1 0.500 0.500 0.500 1
O1 0.000 0.000 0.000 1
```